DFT (PBE) results for crystalline Th2Al3CuPt4 at its relaxed geometry.

The space group is P-4m2 (No. 115) and the conventional cell measures 4.2592, 4.2592 and 10.4970 Å, with angles of 90.00, 90.00 and 90.00 degrees. The distinct sites, in fractional coordinates, are Th at (0.0000, 0.5000, 0.2442), Al at (0.0000, 0.0000, 0.0000), Al at (0.0000, 0.5000, 0.6262), Cu at (0.5000, 0.5000, 0.0000), Pt at (0.0000, 0.0000, 0.5000), Pt at (0.0000, 0.5000, 0.8610) and Pt at (0.5000, 0.5000, 0.5000).

The total energy is -64.2 eV/cell. The value obtained for the formation enthalpy at 0 K is -0.99 eV/atom. The theoretical density is 12.112 Mg/m³.